The following is a PBE calculation of TlPdBr6 after structural relaxation, from Alexandria.

Output
The total energy is -2.477 eV/atom. Its space-group type is C2/m. For the offset from the most stable computed form, the calculation gives 0.000 eV per atom. The energy relative to the elements, uncorrected is -0.28 eV per atom.

a = 6.7587 Å, b = 8.0174 Å, c = 6.8903 Å
α = 106.98°, β = 98.43°, γ = 126.22°
Closest atoms and distances in Å follow each position.
Positions (direct):
1 Br 0.4921 0.7450 0.0000  1 Pd 2.68, 1 Tl 2.77
2 Br 0.8470 0.5633 0.6988  1 Pd 2.50
3 Br 0.1530 0.4367 0.3012  1 Pd 2.50
4 Br 0.5079 0.2550 0.0000  1 Pd 2.68, 1 Tl 2.77
5 Br 0.1483 0.8645 0.3012  1 Pd 2.50
6 Br 0.8517 0.1355 0.6988  1 Pd 2.50
7 Tl 0.0000 0.0000 0.0000  6 Br 2.77-2.91
8 Pd 0.0000 0.5000 0.0000  6 Br 2.50-2.68



The following is a PBE calculation of TlPd2Br8 after structural relaxation, from Alexandria.

Output
The total energy is -2.543 eV/atom. Its space-group type is C2/m. The energy relative to the elements, uncorrected is -0.17 eV per atom.

a = 7.4457 Å, b = 7.6531 Å, c = 7.6531 Å
α = 90.14°, β = 73.52°, γ = 73.52°
Closest atoms and distances in Å follow each position.
Positions (direct):
1 Br 0.2055 0.2623 0.9285  1 Pd 2.52, 1 Tl 2.82
2 Br 0.8232 0.5926 0.5926  1 Pd 2.58, 1 Br 2.59
3 Br 0.7945 0.0715 0.7377  1 Pd 2.52, 1 Tl 2.82
4 Br 0.7945 0.7377 0.0715  1 Pd 2.52, 1 Tl 2.82
5 Br 0.6548 0.2465 0.2465  1 Pd 2.52
6 Br 0.1768 0.4074 0.4074  1 Pd 2.58, 1 Br 2.59
7 Br 0.3452 0.7535 0.7535  1 Pd 2.52
8 Br 0.2055 0.9285 0.2623  1 Pd 2.52, 1 Tl 2.82
9 Pd 0.3952 0.1523 0.1523  4 Br 2.52-2.58
10 Pd 0.6048 0.8477 0.8477  4 Br 2.52-2.58
11 Tl 0.0000 0.0000 0.0000  6 Br 2.82-2.86



The following is a PBE calculation of Tl6PdBr12 after structural relaxation, from Alexandria.

Output
The total energy is -2.618 eV/atom. Its space-group type is R-3. The energy relative to the elements, uncorrected is -0.54 eV per atom.

a = 8.9716 Å, b = 8.9716 Å, c = 8.9716 Å
α = 90.77°, β = 90.77°, γ = 90.77°
Closest atoms and distances in Å follow each position.
Positions (direct):
1 Br 0.9858 0.2790 0.0230  1 Pd 2.51
2 Br 0.0230 0.9858 0.2790  1 Pd 2.51
3 Br 0.8286 0.4237 0.5791  4 Tl 3.10-3.25
4 Br 0.5763 0.4209 0.1714  4 Tl 3.10-3.25
5 Br 0.9770 0.0142 0.7210  1 Pd 2.51
6 Br 0.4237 0.5791 0.8286  4 Tl 3.10-3.25
7 Br 0.5791 0.8286 0.4237  4 Tl 3.10-3.25
8 Br 0.7210 0.9770 0.0142  1 Pd 2.51
9 Br 0.1714 0.5763 0.4209  4 Tl 3.10-3.25
10 Br 0.4209 0.1714 0.5763  4 Tl 3.10-3.25
11 Br 0.0142 0.7210 0.9770  1 Pd 2.51
12 Br 0.2790 0.0230 0.9858  1 Pd 2.51
13 Tl 0.1601 0.3603 0.6960  5 Br 3.10-3.43
14 Tl 0.3040 0.8399 0.6397  5 Br 3.10-3.43
15 Tl 0.6960 0.1601 0.3603  5 Br 3.10-3.43
16 Tl 0.6397 0.3040 0.8399  5 Br 3.10-3.43
17 Tl 0.8399 0.6397 0.3040  5 Br 3.10-3.43
18 Tl 0.3603 0.6960 0.1601  5 Br 3.10-3.43
19 Pd 0.0000 0.0000 0.0000  6 Br 2.51



The following is a PBE calculation of Tl2PdBr8 after structural relaxation, from Alexandria.

Output
The total energy is -2.530 eV/atom. Its space-group type is C2/m. For the offset from the most stable computed form, the calculation gives 0.000 eV per atom. The energy relative to the elements, uncorrected is -0.41 eV per atom.

a = 7.9162 Å, b = 7.9587 Å, c = 7.9587 Å
α = 69.84°, β = 95.14°, γ = 95.14°
Closest atoms and distances in Å follow each position.
Positions (direct):
1 Br 0.3680 0.8027 0.8027  1 Tl 2.57
2 Br 0.1298 0.3080 0.9215  1 Pd 2.46, 1 Tl 2.76
3 Br 0.8702 0.6920 0.0785  1 Pd 2.46, 1 Tl 2.76
4 Br 0.8702 0.0785 0.6920  1 Pd 2.46, 1 Tl 2.76
5 Br 0.1298 0.9215 0.3080  1 Pd 2.46, 1 Tl 2.76
6 Br 0.2447 0.4244 0.4244  1 Tl 2.54
7 Br 0.7553 0.5756 0.5756  1 Tl 2.54
8 Br 0.6320 0.1973 0.1973  1 Tl 2.57
9 Tl 0.6767 0.7594 0.7594  4 Br 2.54-2.76
10 Tl 0.3233 0.2406 0.2406  4 Br 2.54-2.76
11 Pd 0.0000 0.0000 0.0000  4 Br 2.46